The following is a DFT calculation (PBE) of DyMg6Sc after structural relaxation.

Output
As for the raw total energy: -2.612 eV per atom. As for the magnetization: 0.0 μB per formula unit. The calculated formation energy is -0.050 eV per atom.

Lattice parameters (Å, degrees): 4.599 4.599 9.135 90.00 90.00 90.00
Fractional coordinates of all 8 atoms:
Dy (0.000, 0.000, 0.000)
Mg (0.000, 0.500, 0.257)
Mg (0.000, 0.500, 0.743)
Mg (0.500, 0.000, 0.257)
Mg (0.500, 0.000, 0.743)
Mg (0.500, 0.500, 0.000)
Mg (0.500, 0.500, 0.500)
Sc (0.000, 0.000, 0.500)



The following is a DFT calculation (PBE) of TlW3Se after structural relaxation.

Output
As for the raw total energy: -5.603 eV per atom. As for the energy relative to the elements, uncorrected: 3.34 eV/atom. As for the energy above the most stable polymorph in this dataset: 8.51 eV per formula unit. As for the magnetization: 0.0 μB per formula unit.

Lattice parameters (Å, degrees): 4.998 4.998 4.998 90.00 90.00 90.00
Fractional coordinates of all 5 atoms:
Tl (0.000, 0.000, 0.000)
W (0.000, 0.000, 0.500)
W (0.000, 0.500, 0.000)
W (0.500, 0.000, 0.000)
Se (0.500, 0.500, 0.500)



The following is a DFT calculation (PBE) of LiHo2O4 after structural relaxation.

Output
As for the raw total energy: -7.213 eV per atom. As for the energy relative to the elements, uncorrected: -2.80 eV/atom. As for the magnetization: 1.0 μB per formula unit.

Lattice parameters (Å, degrees): 6.009 6.009 6.009 110.97 110.97 106.52
Fractional coordinates of all 14 atoms:
Li (0.000, 0.000, 0.000)
Li (0.750, 0.250, 0.500)
Ho (0.217, 0.125, 0.592)
Ho (0.375, 0.783, 0.908)
Ho (0.533, 0.625, 0.408)
Ho (0.875, 0.467, 0.092)
O (0.124, 0.396, 0.876)
O (0.146, 0.374, 0.376)
O (0.230, 0.854, 0.229)
O (0.520, 0.248, 0.124)
O (0.604, 0.480, 0.729)
O (0.626, 0.002, 0.771)
O (0.752, 0.876, 0.271)
O (0.998, 0.770, 0.624)



The following is a DFT calculation (PBE) of Ce2ErTi after structural relaxation.

Output
As for the raw total energy: -5.903 eV per atom. As for the energy above the most stable polymorph in this dataset: 0.00 eV per formula unit. As for the magnetization: 0.2 μB per formula unit. The calculated formation energy is 0.179 eV per atom.

Lattice parameters (Å, degrees): 3.244 3.244 9.738 90.00 90.00 90.00
Fractional coordinates of all 4 atoms:
Ce (0.000, 0.000, 0.226)
Ce (0.000, 0.000, 0.774)
Er (0.500, 0.500, 0.500)
Ti (0.500, 0.500, 0.000)



The following is a DFT calculation (PBE) of AgHg2P after structural relaxation.

Output
As for the raw total energy: -1.869 eV per atom. As for the magnetization: 0.0 μB per formula unit. The calculated formation energy is 0.347 eV per atom.

Lattice parameters (Å, degrees): 7.793 3.117 7.257 90.00 101.25 90.00
Fractional coordinates of all 8 atoms:
Ag (0.000, 0.000, 0.000)
Ag (0.500, 0.500, 0.000)
Hg (0.244, 0.500, 0.267)
Hg (0.256, 0.000, 0.733)
Hg (0.744, 0.000, 0.267)
Hg (0.756, 0.500, 0.733)
P (0.000, 0.500, 0.500)
P (0.500, 0.000, 0.500)



The following is a DFT calculation (PBE) of Tl2InCu2 after structural relaxation.

Output
As for the raw total energy: -2.797 eV per atom. As for the energy above the most stable polymorph in this dataset: 0.69 eV per formula unit. As for the magnetization: 0.0 μB per formula unit. The calculated formation energy is 0.336 eV per atom.

Lattice parameters (Å, degrees): 4.464 4.464 11.753 90.00 90.00 90.00
Fractional coordinates of all 10 atoms:
Tl (0.000, 0.500, 0.250)
Tl (0.000, 0.500, 0.750)
Tl (0.500, 0.000, 0.250)
Tl (0.500, 0.000, 0.750)
In (0.000, 0.000, 0.000)
In (0.500, 0.500, 0.500)
Cu (0.000, 0.000, 0.400)
Cu (0.000, 0.000, 0.600)
Cu (0.500, 0.500, 0.100)
Cu (0.500, 0.500, 0.900)



The highest raw total energy belongs to which entry? AgHg2P



magnetization of number 3 (LiHo2O4)? 1.0 μB per formula unit



Which formula does entry 4 have? Ce2ErTi